A plane-wave DFT calculation with PBE was carried out for a geometry-optimized LiTa2Mo structure.

Summary:
Fermi-level density of states (states/eV per atom): 0.88
Relative energy among the computed polymorphs (meV/atom): 194
ρ (g/cm3): 11.34
E (eV/atom): -8.74

```
4
Lattice="2.667 0.000 0.000 0.000 4.320 0.000 0.000 0.000 5.905" Properties=species:S:1:pos:R:3 pbc="T T T"
Li 1.334 2.160 1.476
Mo 1.334 2.160 4.428
Ta 0.000 0.000 5.891
Ta 0.000 0.000 2.966
```